Compound: MgSc2Re
Source: Alexandria via LeMat-Bulk
Functional: PBE-GGA
Structure: relaxed

Lattice parameters (Å, degrees): 2.9041 4.8162 5.6448 90.00 101.85 90.00
Fractional coordinates of all 4 atoms:
Mg: 0.0000 0.0000 0.0000
Sc: 0.3600 0.5000 0.7748
Sc: 0.6029 0.0000 0.4632
Re: 0.9448 0.5000 0.2760

Results
M_tot: 0.000 μB/atom
Crystal system: monoclinic
DFT formation energy: 119 meV per atom


Compound: Sr3SiO
Source: Alexandria via LeMat-Bulk
Functional: PBE-GGA
Structure: relaxed

Lattice parameters (Å, degrees): 8.2392 8.2392 4.9684 90.00 90.00 129.16
Fractional coordinates of all 10 atoms:
Sr: 0.0000 0.5000 0.5000
Sr: 0.1376 0.8624 0.0000
Sr: 0.2656 0.2656 0.5000
Sr: 0.5000 0.0000 0.5000
Sr: 0.7344 0.7344 0.5000
Sr: 0.8624 0.1376 0.0000
Si: 0.3584 0.6416 0.0000
Si: 0.6416 0.3584 0.0000
O: 0.1185 0.8815 0.5000
O: 0.8815 0.1185 0.5000

Results
M_tot: 0.000 μB/atom
Crystal system: orthorhombic
Uncorrected formation energy: -1.177 eV per atom


Compound: K3HBr2
Source: Alexandria via LeMat-Bulk
Functional: PBE-GGA
Structure: relaxed

Lattice parameters (Å, degrees): 7.8902 7.8902 7.8902 147.06 131.16 60.17
Fractional coordinates of all 6 atoms:
K: 0.0000 0.0000 0.0000
K: 0.3537 0.3537 0.0000
K: 0.6463 0.6463 0.0000
H: 0.5000 0.0000 0.5000
Br: 0.1712 0.6712 0.5000
Br: 0.8288 0.3288 0.5000

Results
M_tot: 0.004 μB/atom
Crystal system: orthorhombic
E above lowest polymorph: 0 meV per atom


Compound: MgSn4O8
Source: Alexandria via LeMat-Bulk
Functional: PBE-GGA
Structure: relaxed

Lattice parameters (Å, degrees): 7.6900 7.6900 8.6626 113.18 113.18 24.21
Fractional coordinates of all 13 atoms:
Mg: 0.0000 0.0000 0.0000
Sn: 0.2671 0.2671 0.6445
Sn: 0.5403 0.5403 0.3210
Sn: 0.6910 0.6910 0.9975
Sn: 0.9593 0.9593 0.6367
O: 0.0883 0.0883 0.8519
O: 0.1292 0.1292 0.4565
O: 0.4242 0.4242 0.7879
O: 0.4834 0.4834 0.5131
O: 0.5807 0.5807 0.1179
O: 0.7451 0.7451 0.7748
O: 0.8096 0.8096 0.5221
O: 0.9536 0.9536 0.1960

Results
M_tot: 0.000 μB/atom
Crystal system: monoclinic
E above lowest polymorph: 0 meV per atom
Uncorrected formation energy: -1.657 eV per atom


Compound: Ac4Ti3AgO12
Source: Alexandria via LeMat-Bulk
Functional: PBE-GGA
Structure: relaxed

Lattice parameters (Å, degrees): 7.0895 7.0895 7.0895 109.47 109.47 109.47
Fractional coordinates of all 20 atoms:
Ac: 0.0000 0.0000 0.5000
Ac: 0.0000 0.5000 0.0000
Ac: 0.5000 0.0000 0.0000
Ac: 0.5000 0.5000 0.5000
Ti: 0.0000 0.5000 0.5000
Ti: 0.5000 0.0000 0.5000
Ti: 0.5000 0.5000 0.0000
Ag: 0.0000 0.0000 0.0000
O: 0.0000 0.2719 0.2719
O: 0.0000 0.7281 0.7281
O: 0.2500 0.5000 0.7500
O: 0.2500 0.7500 0.5000
O: 0.2719 0.0000 0.2719
O: 0.2719 0.2719 0.0000
O: 0.5000 0.2500 0.7500
O: 0.5000 0.7500 0.2500
O: 0.7281 0.0000 0.7281
O: 0.7281 0.7281 0.0000
O: 0.7500 0.2500 0.5000
O: 0.7500 0.5000 0.2500

Results
M_tot: 0.053 μB/atom
Crystal system: cubic
Uncorrected formation energy: -2.884 eV per atom


Compound: Ta2P
Source: Alexandria via LeMat-Bulk
Functional: PBE-GGA
Structure: relaxed

Lattice parameters (Å, degrees): 3.3254 3.3965 8.9158 90.00 100.56 90.00
Fractional coordinates of all 6 atoms:
Ta: 0.0000 0.0000 0.0000
Ta: 0.1637 0.0000 0.3143
Ta: 0.3417 0.0000 0.6849
Ta: 0.7464 0.5000 0.4854
P: 0.5816 0.5000 0.1565
P: 0.8942 0.5000 0.7900

Results
M_tot: 0.000 μB/atom
Crystal system: monoclinic
DFT formation energy: -501 meV per atom